Material: Rb2IrSF6
Method: DFT, PBE-GGA
State: optimized geometry

Structure (POSCAR):
```
Rb2IrSF6
1.0
-0.424 -4.357 4.762
-4.371 -3.317 -3.424
1.242 -6.476 -1.421
S Ir Rb F
1 1 2 6
direct
0.500 0.500 0.000
0.000 0.000 0.000
0.750 0.250 0.500
0.250 0.750 0.500
0.199 0.199 0.602
0.801 0.801 0.398
0.217 0.217 0.000
0.783 0.783 0.000
0.783 0.217 0.000
0.217 0.783 0.000
```

- formation energy (no corrections) (eV/atom) = -1.633
- energy (eV/atom) = -4.25
- DOS at the Fermi energy (states/eV/f.u.) = 9.06